[1]
Compound: YPuTl2O8
Source: Alexandria
Functional: GGA-PBE
Structure: relaxed

Summary:
- formation energy from raw total energies (eV per atom) = -1.83
- energy (eV/atom) = -7.2647
- total magnetic moment (μB/atom) = 0.08
- space group = Cmmm, No. 65

a b c (Å): 5.2351 5.2313 6.8117
angles (deg): 90.00 90.00 92.70
Positions (direct):
O (0.7040, 0.7041, 0.0000)
O (0.6959, 0.6954, 0.5000)
O (0.3041, 0.3046, 0.5000)
O (0.2960, 0.2959, 0.0000)
O (0.1719, 0.8279, 0.7826)
O (0.8281, 0.1721, 0.2174)
O (0.1719, 0.8279, 0.2174)
O (0.8281, 0.1721, 0.7826)
Y (0.0000, 0.0000, 0.5000)
Tl (0.5000, 0.5000, 0.2522)
Tl (0.5000, 0.5000, 0.7478)
Pu (0.0000, 0.0000, 0.0000)



[2]
Compound: YPu3Tl4O12
Source: Alexandria
Functional: GGA-PBE
Structure: relaxed

Summary:
- formation energy from raw total energies (eV per atom) = -2.18
- energy (eV/atom) = -8.0971
- total magnetic moment (μB/atom) = 0.35
- space group = Im-3m, No. 229

a b c (Å): 7.4873 7.4873 7.4873
angles (deg): 109.47 109.47 109.47
Positions (direct):
Tl (0.0000, 0.5000, 0.0000)
Tl (0.5000, 0.5000, 0.5000)
Tl (0.5000, 0.0000, 0.0000)
Tl (0.0000, 0.0000, 0.5000)
O (0.2500, 0.5000, 0.7500)
O (0.5000, 0.7500, 0.2500)
O (0.0000, 0.7331, 0.7331)
O (0.2669, 0.0000, 0.2669)
O (0.7331, 0.7331, 0.0000)
O (0.7500, 0.2500, 0.5000)
O (0.0000, 0.2669, 0.2669)
O (0.5000, 0.2500, 0.7500)
O (0.2500, 0.7500, 0.5000)
O (0.7331, 0.0000, 0.7331)
O (0.7500, 0.5000, 0.2500)
O (0.2669, 0.2669, 0.0000)
Pu (0.5000, 0.5000, 0.0000)
Pu (0.5000, 0.0000, 0.5000)
Pu (0.0000, 0.5000, 0.5000)
Y (0.0000, 0.0000, 0.0000)



[3]
Compound: YPuTl2O6
Source: Alexandria
Functional: GGA-PBE
Structure: relaxed

Summary:
- formation energy from raw total energies (eV per atom) = -2.15
- energy (eV/atom) = -7.6773
- total magnetic moment (μB/atom) = 0.10
- space group = R-3, No. 148

a b c (Å): 6.1280 6.1281 6.1280
angles (deg): 59.99 59.99 59.99
Positions (direct):
O (0.0803, 0.5508, 0.2860)
O (0.5520, 0.0815, 0.8171)
O (0.5495, 0.5519, 0.8169)
O (0.0816, 0.5495, 0.8170)
O (0.0828, 0.0804, 0.2862)
O (0.5506, 0.0828, 0.2862)
Tl (0.0662, 0.0662, 0.8014)
Tl (0.5662, 0.5662, 0.3014)
Y (0.8162, 0.8162, 0.5515)
Pu (0.3162, 0.3162, 0.0515)



[4]
Compound: PuTlZn2O8
Source: Alexandria
Functional: GGA-PBE
Structure: relaxed

Summary:
- formation energy from raw total energies (eV per atom) = -1.14
- energy (eV/atom) = -6.0459
- total magnetic moment (μB/atom) = 0.00
- space group = I-4m2, No. 119

a b c (Å): 5.9233 5.9233 5.9233
angles (deg): 111.80 111.80 104.91
Positions (direct):
Zn (0.5000, 0.5000, 0.0000)
Zn (0.7500, 0.2500, 0.5000)
O (0.4867, 0.6950, 0.7916)
O (0.9034, 0.6950, 0.2084)
O (0.3050, 0.5133, 0.2084)
O (0.7105, 0.0358, 0.6748)
O (0.9642, 0.2895, 0.3252)
O (0.3050, 0.0966, 0.7916)
O (0.3610, 0.0358, 0.3252)
O (0.9642, 0.6390, 0.6748)
Pu (0.2500, 0.7500, 0.5000)
Tl (0.0000, 0.0000, 0.0000)



[5]
Compound: PuTl2ZnO8
Source: Alexandria
Functional: GGA-PBE
Structure: relaxed

Summary:
- formation energy from raw total energies (eV per atom) = -1.22
- energy (eV/atom) = -6.2235
- total magnetic moment (μB/atom) = 0.01
- space group = P2/m, No. 10

a b c (Å): 5.1511 5.1146 6.6808
angles (deg): 90.00 90.00 94.95
Positions (direct):
O (0.2880, 0.2825, 0.5000)
O (0.7120, 0.7175, 0.5000)
O (0.1663, 0.8248, 0.2150)
O (0.3085, 0.2972, 0.0000)
O (0.8337, 0.1752, 0.7850)
O (0.8337, 0.1751, 0.2150)
O (0.1663, 0.8249, 0.7850)
O (0.6915, 0.7028, 0.0000)
Zn (0.0000, 0.0000, 0.5000)
Tl (0.5000, 0.5000, 0.2600)
Tl (0.5000, 0.5000, 0.7400)
Pu (0.0000, 0.0000, 0.0000)



[6]
Compound: Pu3Tl2ZnO12
Source: Alexandria
Functional: GGA-PBE
Structure: relaxed

Summary:
- formation energy from raw total energies (eV per atom) = -1.98
- energy (eV/atom) = -8.0113
- total magnetic moment (μB/atom) = 0.22
- space group = R-3m, No. 166

a b c (Å): 7.4456 7.4456 7.4456
angles (deg): 63.75 63.75 63.75
Positions (direct):
Pu (0.0000, 0.0000, 0.5000)
Pu (0.0000, 0.5000, 0.0000)
Pu (0.5000, 0.0000, 0.0000)
O (0.3214, 0.9296, 0.3214)
O (0.0631, 0.0631, 0.6792)
O (0.6786, 0.0704, 0.6786)
O (0.6786, 0.6786, 0.0704)
O (0.3208, 0.9369, 0.9369)
O (0.9296, 0.3214, 0.3214)
O (0.0704, 0.6786, 0.6786)
O (0.9369, 0.3208, 0.9369)
O (0.3214, 0.3214, 0.9296)
O (0.0631, 0.6792, 0.0631)
O (0.9369, 0.9369, 0.3208)
O (0.6792, 0.0631, 0.0631)
Tl (0.6138, 0.6138, 0.6138)
Tl (0.3862, 0.3862, 0.3862)
Zn (0.0000, 0.0000, 0.0000)



[7]
Compound: PuZrTlO6
Source: Alexandria
Functional: GGA-PBE
Structure: relaxed

Summary:
- formation energy from raw total energies (eV per atom) = -2.33
- energy (eV/atom) = -8.4370
- total magnetic moment (μB/atom) = 0.11
- space group = Imma, No. 74

a b c (Å): 7.6316 7.9368 7.7608
angles (deg): 120.75 119.45 90.00
Positions (direct):
O (0.4374, 0.6874, 0.8749)
O (0.1970, 0.3219, 0.7612)
O (0.5642, 0.3219, 0.7612)
O (0.5642, 0.9394, 0.7612)
O (0.4358, 0.6782, 0.2388)
O (0.1770, 0.9270, 0.3539)
O (0.8230, 0.0730, 0.6461)
O (0.4358, 0.0606, 0.2388)
O (0.8030, 0.0606, 0.2388)
O (0.8030, 0.6782, 0.2388)
O (0.5626, 0.3126, 0.1251)
O (0.1970, 0.9394, 0.7612)
Pu (0.5000, 0.5000, 0.0000)
Pu (0.5000, 0.0000, 0.0000)
Tl (0.9416, 0.6916, 0.8833)
Tl (0.0584, 0.3084, 0.1167)
Zr (0.5000, 0.0000, 0.5000)
Zr (0.0000, 0.0000, 0.5000)



[8]
Compound: TmPu2O8
Source: Alexandria
Functional: GGA-PBE
Structure: relaxed

Summary:
- formation energy from raw total energies (eV per atom) = -2.57
- energy (eV/atom) = -9.1932
- total magnetic moment (μB/atom) = 0.27
- space group = C2/m, No. 12

a b c (Å): 4.6555 7.0243 6.0853
angles (deg): 125.25 86.14 90.00
Positions (direct):
Tm (0.0000, 0.0000, 0.0000)
O (0.2373, 0.5735, 0.1470)
O (0.2447, 0.1076, 0.7535)
O (0.2447, 0.6459, 0.7535)
O (0.7553, 0.8924, 0.2465)
O (0.7431, 0.8261, 0.6522)
O (0.7627, 0.4265, 0.8530)
O (0.7553, 0.3541, 0.2465)
O (0.2569, 0.1739, 0.3478)
Pu (0.7388, 0.6316, 0.2632)
Pu (0.2612, 0.3684, 0.7368)